Below is a geometry-optimized RbCrBr2Cl structure, with properties calculated at the PBE level.

Summary:
Its space-group type is No. 123. The formation energy without anion corrections comes out at -1.19 eV per atom.

a = 5.352 Å, b = 5.352 Å, c = 4.950 Å
α = 90.00°, β = 90.00°, γ = 90.00°
Fractional coordinates of all 5 atoms:
Rb1 0.000 0.000 0.000
Cr1 0.500 0.500 0.500
Br1 0.000 0.500 0.500
Br2 0.500 0.000 0.500
Cl1 0.500 0.500 0.000